(1)
DFT (PBE) results for a geometry-optimized CaH7Pd2Pt2 structure.

Cell lengths 4.710, 4.710, 7.073 Å; angles 70.55, 70.55, 60.00 degrees
Fractional positions:
H (0.502, 0.908, 0.684)
H (0.092, 0.498, 0.316)
H (0.000, 0.000, 0.000)
H (0.907, 0.502, 0.684)
H (0.498, 0.093, 0.316)
H (0.093, 0.092, 0.316)
H (0.908, 0.907, 0.684)
Pd (0.303, 0.303, 0.090)
Pd (0.697, 0.697, 0.910)
Ca (0.500, 0.500, 0.500)
Pt (0.917, 0.917, 0.250)
Pt (0.083, 0.083, 0.750)

Properties
size of the total moment	0.0	μB/cell
E_tot	-49.08	eV/f.u.
N(E_F)	1.94	states/eV/f.u.

(2)
DFT (PBE) results for a geometry-optimized Ca2H6PdPt structure.

Cell lengths 5.293, 5.293, 5.263 Å; angles 120.37, 120.37, 89.78 degrees
Fractional positions:
Ca (0.750, 0.250, 0.500)
Ca (0.250, 0.750, 0.500)
Pd (0.000, 0.000, 0.000)
H (0.256, 0.744, 0.000)
H (0.254, 0.255, 0.509)
H (0.744, 0.256, 0.000)
H (0.745, 0.746, 0.000)
H (0.746, 0.746, 0.491)
H (0.254, 0.255, 0.999)
Pt (0.500, 0.500, 0.000)

Properties
size of the total moment	0.0	μB/cell
E_tot	-40.89	eV/f.u.
N(E_F)	1.52	states/eV/f.u.

(3)
DFT (PBE) results for a geometry-optimized CaH6Pd2Pt structure.

Cell lengths 4.999, 5.030, 5.718 Å; angles 91.08, 121.24, 119.69 degrees
Fractional positions:
H (0.590, 0.030, 0.723)
H (0.048, 0.053, 0.654)
H (0.868, 0.800, 0.165)
H (0.663, 0.568, 0.719)
H (0.144, 0.369, 0.152)
H (0.418, 0.044, 0.123)
Ca (0.051, 0.524, 0.613)
Pd (0.575, 0.771, 0.271)
Pd (0.653, 0.335, 0.965)
Pt (0.955, 0.983, 0.919)

Properties
size of the total moment	0.0	μB/cell
E_tot	-41.44	eV/f.u.
N(E_F)	0.55	states/eV/f.u.

(4)
DFT (PBE) results for a geometry-optimized CaH4Pd2Pt structure.

Cell lengths 4.494, 5.358, 5.358 Å; angles 106.98, 65.21, 65.21 degrees
Fractional positions:
H (0.996, 0.842, 0.536)
H (0.375, 0.158, 0.464)
H (0.625, 0.536, 0.842)
H (0.004, 0.464, 0.158)
Pt (0.000, 0.500, 0.500)
Pd (0.500, 0.252, 0.748)
Pd (0.500, 0.748, 0.252)
Ca (0.000, 0.000, 0.000)

Properties
size of the total moment	0.0	μB/cell
E_tot	-34.66	eV/f.u.
N(E_F)	1.81	states/eV/f.u.

(5)
DFT (PBE) results for a geometry-optimized Ca2HPdPt structure.

Cell lengths 5.018, 5.018, 3.562 Å; angles 90.00, 90.00, 90.00 degrees
Fractional positions:
Ca (0.500, 0.000, 0.000)
Ca (0.000, 0.500, 0.000)
Pd (0.000, 0.000, 0.500)
H (0.000, 0.000, 0.000)
Pt (0.500, 0.500, 0.500)

Properties
size of the total moment	0.0	μB/cell
E_tot	-22.18	eV/f.u.
N(E_F)	1.29	states/eV/f.u.
excess energy over the best structure of this formula in the dataset	0.0	kJ per mole of atoms

(6)
DFT (PBE) results for a geometry-optimized Ca2HPdRh structure.

Cell lengths 4.942, 4.942, 3.571 Å; angles 90.00, 90.00, 90.00 degrees
Fractional positions:
Pd (0.000, 0.000, 0.500)
H (0.000, 0.000, 0.000)
Ca (0.000, 0.500, 0.000)
Ca (0.500, 0.000, 0.000)
Rh (0.500, 0.500, 0.500)

Properties
size of the total moment	0.0	μB/cell
E_tot	-22.22	eV/f.u.
N(E_F)	2.21	states/eV/f.u.
excess energy over the best structure of this formula in the dataset	8.6	kJ per mole of atoms

(7)
DFT (PBE) results for a geometry-optimized CaHPdRh2 structure.

Cell lengths 4.060, 4.060, 4.193 Å; angles 90.00, 90.00, 90.00 degrees
Fractional positions:
Rh (0.500, 0.000, 0.000)
Rh (0.000, 0.500, 0.000)
Ca (0.500, 0.500, 0.500)
H (0.000, 0.000, 0.000)
Pd (0.000, 0.000, 0.500)

Properties
size of the total moment	0.0	μB/cell
E_tot	-26.42	eV/f.u.
N(E_F)	4.62	states/eV/f.u.
excess energy over the best structure of this formula in the dataset	0.0	kJ per mole of atoms

(8)
DFT (PBE) results for a geometry-optimized CaHPdRh2 structure.

Cell lengths 3.968, 3.968, 4.407 Å; angles 90.00, 90.00, 90.00 degrees
Fractional positions:
Pd (0.500, 0.500, 0.500)
Ca (0.000, 0.000, 0.500)
Rh (0.500, 0.000, 0.000)
Rh (0.000, 0.500, 0.000)
H (0.000, 0.000, 0.000)

Properties
size of the total moment	0.0	μB/cell
E_tot	-26.31	eV/f.u.
N(E_F)	5.42	states/eV/f.u.
excess energy over the best structure of this formula in the dataset	2.0	kJ per mole of atoms